Entry 1:
Here is Ac2ZrCuO6 after structural relaxation from Alexandria via LeMat-Bulk. Energies are from PBE.

a = 4.1000 Å, b = 4.1000 Å, c = 8.3850 Å
α = 90.00°, β = 90.00°, γ = 90.00°
Sites, in units of the cell vectors:
Ac1 0.0000 0.0000 0.2160
Ac2 0.0000 0.0000 0.7840
Zr1 0.5000 0.5000 0.5000
Cu1 0.5000 0.5000 0.0000
O1 0.0000 0.5000 0.0000
O2 0.0000 0.5000 0.5000
O3 0.5000 0.0000 0.0000
O4 0.5000 0.0000 0.5000
O5 0.5000 0.5000 0.2500
O6 0.5000 0.5000 0.7500

* ΔE_f (raw): -2.72 eV/atom
* E_tot: -7.780 eV/atom

Entry 2:
Here is AcZr4Cu3O12 after structural relaxation from Alexandria via LeMat-Bulk. Energies are from PBE.

a = 6.8901 Å, b = 6.8901 Å, c = 6.8901 Å
α = 109.47°, β = 109.47°, γ = 109.47°
Sites, in units of the cell vectors:
Ac1 0.0000 0.0000 0.0000
Zr1 0.0000 0.0000 0.5000
Zr2 0.0000 0.5000 0.0000
Zr3 0.5000 0.0000 0.0000
Zr4 0.5000 0.5000 0.5000
Cu1 0.0000 0.5000 0.5000
Cu2 0.5000 0.0000 0.5000
Cu3 0.5000 0.5000 0.0000
O1 0.1329 0.8307 0.3021
O2 0.1693 0.3021 0.4714
O3 0.1693 0.6979 0.8671
O4 0.3021 0.1329 0.8307
O5 0.3021 0.4714 0.1693
O6 0.4714 0.1693 0.3021
O7 0.5286 0.8307 0.6979
O8 0.6979 0.5286 0.8307
O9 0.6979 0.8671 0.1693
O10 0.8307 0.3021 0.1329
O11 0.8307 0.6979 0.5286
O12 0.8671 0.1693 0.6979

* ΔE_f (raw): -2.49 eV/atom
* E_tot: -7.997 eV/atom

Entry 3:
Here is Ac2CuOs after structural relaxation from Alexandria via LeMat-Bulk. Energies are from PBE.

a = 3.6696 Å, b = 3.6696 Å, c = 7.8588 Å
α = 90.00°, β = 90.00°, γ = 90.00°
Sites, in units of the cell vectors:
Ac1 0.0000 0.0000 0.2356
Ac2 0.0000 0.0000 0.7644
Cu1 0.5000 0.5000 0.5000
Os1 0.5000 0.5000 0.0000

* E_tot: -5.779 eV/atom
* formation enthalpy at 0 K: 0.107 eV per atom

Entry 4:
Here is Ac2CuOs after structural relaxation from Alexandria via LeMat-Bulk. Energies are from PBE.

a = 6.2443 Å, b = 4.3797 Å, c = 8.4867 Å
α = 90.00°, β = 110.45°, γ = 90.00°
Sites, in units of the cell vectors:
Ac1 0.2195 0.2500 0.4391
Ac2 0.2284 0.2500 0.9221
Ac3 0.7716 0.7500 0.0779
Ac4 0.7805 0.7500 0.5609
Cu1 0.3679 0.7500 0.2167
Cu2 0.6321 0.2500 0.7833
Os1 0.3701 0.7500 0.7205
Os2 0.6299 0.2500 0.2795

* E_tot: -5.939 eV/atom
* formation enthalpy at 0 K: -0.054 eV per atom

Entry 5:
Here is Ac4CuOs after structural relaxation from Alexandria via LeMat-Bulk. Energies are from PBE.

a = 5.9076 Å, b = 9.2798 Å, c = 7.9164 Å
α = 90.00°, β = 99.10°, γ = 90.00°
Sites, in units of the cell vectors:
Ac1 0.0230 0.2500 0.0328
Ac2 0.0916 0.7500 0.5122
Ac3 0.4671 0.0446 0.7640
Ac4 0.4671 0.4554 0.7640
Ac5 0.5329 0.5446 0.2360
Ac6 0.5329 0.9554 0.2360
Ac7 0.9084 0.2500 0.4878
Ac8 0.9770 0.7500 0.9672
Cu1 0.3887 0.2500 0.4022
Cu2 0.6113 0.7500 0.5978
Os1 0.4552 0.7500 0.9018
Os2 0.5448 0.2500 0.0982

* E_tot: -5.302 eV/atom
* formation enthalpy at 0 K: -0.009 eV per atom

Entry 6:
Here is Ac6Cu2Os after structural relaxation from Alexandria via LeMat-Bulk. Energies are from PBE.

a = 7.2419 Å, b = 7.9519 Å, c = 12.9539 Å
α = 90.00°, β = 120.35°, γ = 90.00°
Sites, in units of the cell vectors:
Ac1 0.0924 0.0486 0.2470
Ac2 0.0924 0.4514 0.7470
Ac3 0.2456 0.6853 0.0771
Ac4 0.2456 0.8147 0.5771
Ac5 0.3911 0.1870 0.0679
Ac6 0.3911 0.3130 0.5679
Ac7 0.6089 0.6870 0.4321
Ac8 0.6089 0.8130 0.9321
Ac9 0.7544 0.1853 0.4229
Ac10 0.7544 0.3147 0.9229
Ac11 0.9076 0.5486 0.2530
Ac12 0.9076 0.9514 0.7530
Cu1 0.3287 0.1096 0.7706
Cu2 0.3287 0.3904 0.2706
Cu3 0.6713 0.6096 0.7294
Cu4 0.6713 0.8904 0.2294
Os1 0.0000 0.0000 0.0000
Os2 0.0000 0.5000 0.5000

* E_tot: -4.959 eV/atom
* formation enthalpy at 0 K: -0.062 eV per atom